Record 1
First-principles (PBE-GGA) data for a relaxed NaY2B crystal, as listed in the Alexandria database.

abc: 7.8002 7.8002 7.0333
angles: 90.00 90.00 90.00
Space group I-42d (No. 122)
One atom of each set of equivalent atoms:
Na (0.0000, 0.0000, 0.0000)
Y (0.1624, 0.2500, 0.6250)
B (0.0000, 0.0000, 0.5000)

* calculated volume: 26.75 Å³/atom
* total DFT energy (no corrections): -4.857 eV/atom
* theoretical density: 3.28 Mg/m³
* magnetization: 0.00 μB per cell



Record 2
First-principles (PBE-GGA) data for a relaxed Y2TaOs crystal, as listed in the Alexandria database.

abc: 7.0464 7.0464 7.0464
angles: 90.00 90.00 90.00
Space group Fm-3m (No. 225)
One atom of each set of equivalent atoms:
Y (0.2500, 0.2500, 0.2500)
Ta (0.0000, 0.0000, 0.0000)
Os (0.0000, 0.0000, 0.5000)

* calculated volume: 21.87 Å³/atom
* energy above the most stable polymorph in this dataset: 500 meV per atom
* total DFT energy (no corrections): -8.571 eV/atom
* theoretical density: 10.42 Mg/m³
* magnetization: 10.51 μB per cell



Record 3
First-principles (PBE-GGA) data for a relaxed DyErCdAu crystal, as listed in the Alexandria database.

abc: 3.6651 3.6651 7.2498
angles: 90.00 90.00 90.00
Space group P4mm (No. 99)
One atom of each set of equivalent atoms:
Dy (0.0000, 0.0000, 0.0000)
Er (0.0000, 0.0000, 0.5263)
Cd (0.5000, 0.5000, 0.2663)
Au (0.5000, 0.5000, 0.7575)

* calculated volume: 24.35 Å³/atom
* energy above the most stable polymorph in this dataset: 0 meV per atom
* total DFT energy (no corrections): -3.935 eV/atom
* theoretical density: 10.90 Mg/m³
* magnetization: 0.00 μB per cell



Record 4
First-principles (PBE-GGA) data for a relaxed Ce2Pm5Se12 crystal, as listed in the Alexandria database.

abc: 16.1928 7.8949 9.4719
angles: 90.00 108.25 90.00
Space group C2/m (No. 12)
One atom of each set of equivalent atoms:
Ce (0.0000, 0.2474, 0.0000)
Pm (0.0000, 0.5000, 0.5000)
Pm (0.1854, 0.0000, 0.8243)
Pm (0.2070, 0.0000, 0.3656)
Se (0.0040, 0.0000, 0.2242)
Se (0.0191, 0.5000, 0.8082)
Se (0.1470, 0.2462, 0.5619)
Se (0.1815, 0.2276, 0.0981)

* calculated volume: 30.26 Å³/atom
* total DFT energy (no corrections): -5.719 eV/atom
* theoretical density: 5.64 Mg/m³
* magnetization: 0.00 μB per cell



Record 5
First-principles (PBE-GGA) data for a relaxed PmSmPd2 crystal, as listed in the Alexandria database.

abc: 4.1140 4.1140 21.2375
angles: 90.00 90.00 120.00
Space group R3m (No. 160, hexagonal axes)
One atom of each set of equivalent atoms:
Pm (0.0000, 0.0000, 0.0000)
Sm (0.0000, 0.0000, 0.1727)
Pd (0.0000, 0.0000, 0.4223)
Pd (0.0000, 0.0000, 0.5844)

* calculated volume: 25.94 Å³/atom
* energy above the most stable polymorph in this dataset: 179 meV per atom
* total DFT energy (no corrections): -5.624 eV/atom
* theoretical density: 8.13 Mg/m³
* magnetization: 0.00 μB per cell



Record 6
First-principles (PBE-GGA) data for a relaxed NaCeBr2 crystal, as listed in the Alexandria database.

abc: 3.8811 3.8811 30.7207
angles: 90.00 90.00 120.00
Space group R-3m (No. 166, hexagonal axes)
One atom of each set of equivalent atoms:
Na (0.0000, 0.0000, 0.0000)
Ce (0.0000, 0.0000, 0.5000)
Br (0.0000, 0.0000, 0.1002)

* calculated volume: 33.40 Å³/atom
* total DFT energy (no corrections): -3.836 eV/atom
* theoretical density: 4.01 Mg/m³
* magnetization: 4.86 μB per cell



Record 7
First-principles (PBE-GGA) data for a relaxed TbDyTmLu crystal, as listed in the Alexandria database.

abc: 7.9117 7.9117 7.9117
angles: 90.00 90.00 90.00
Space group F-43m (No. 216)
One atom of each set of equivalent atoms:
Tb (0.0000, 0.0000, 0.0000)
Dy (0.0000, 0.0000, 0.5000)
Tm (0.2500, 0.2500, 0.2500)
Lu (0.2500, 0.2500, 0.7500)

* calculated volume: 30.95 Å³/atom
* total DFT energy (no corrections): -4.433 eV/atom
* theoretical density: 8.92 Mg/m³
* magnetization: 0.01 μB per cell



Record 8
First-principles (PBE-GGA) data for a relaxed Ca2Zn2Br crystal, as listed in the Alexandria database.

abc: 8.1810 8.1810 4.2722
angles: 90.00 90.00 90.00
Space group P4/mbm (No. 127)
One atom of each set of equivalent atoms:
Ca (0.1850, 0.3150, 0.0000)
Zn (0.1058, 0.6058, 0.5000)
Br (0.0000, 0.0000, 0.0000)

* calculated volume: 28.59 Å³/atom
* total DFT energy (no corrections): -2.181 eV/atom
* theoretical density: 3.38 Mg/m³
* magnetization: 0.00 μB per cell



Record 9
First-principles (PBE-GGA) data for a relaxed ZrVCr crystal, as listed in the Alexandria database.

abc: 3.0232 5.3105 6.3947
angles: 90.44 102.16 102.08
Space group P1 (No. 1)
One atom of each set of equivalent atoms:
Zr (0.0000, 0.0000, 0.0000)
Zr (0.4728, 0.2400, 0.5515)
V (0.2936, 0.5297, 0.9100)
V (0.8602, 0.4519, 0.2127)
Cr (0.1298, 0.7221, 0.6189)
Cr (0.5820, 0.7982, 0.3399)

* calculated volume: 16.33 Å³/atom
* energy above the most stable polymorph in this dataset: 225 meV per atom
* total DFT energy (no corrections): -8.898 eV/atom
* theoretical density: 6.58 Mg/m³
* magnetization: 0.00 μB per cell



Record 10
First-principles (PBE-GGA) data for a relaxed DyTaNi2 crystal, as listed in the Alexandria database.

abc: 3.1816 3.1816 6.7042
angles: 90.00 90.00 90.00
Space group P4/mmm (No. 123)
One atom of each set of equivalent atoms:
Dy (0.0000, 0.0000, 0.0000)
Ta (0.0000, 0.0000, 0.5000)
Ni (0.5000, 0.5000, 0.3040)

* calculated volume: 16.97 Å³/atom
* energy above the most stable polymorph in this dataset: 9 meV per atom
* total DFT energy (no corrections): -7.242 eV/atom
* theoretical density: 11.28 Mg/m³
* magnetization: 0.00 μB per cell



Record 11
First-principles (PBE-GGA) data for a relaxed ZrTi2Os3 crystal, as listed in the Alexandria database.

abc: 3.1438 3.1438 9.5708
angles: 90.00 90.00 90.00
Space group P4/mmm (No. 123)
One atom of each set of equivalent atoms:
Zr (0.0000, 0.0000, 0.0000)
Ti (0.0000, 0.0000, 0.3394)
Os (0.5000, 0.5000, 0.1817)
Os (0.5000, 0.5000, 0.5000)

* calculated volume: 15.77 Å³/atom
* total DFT energy (no corrections): -10.281 eV/atom
* theoretical density: 13.30 Mg/m³
* magnetization: 0.00 μB per cell



Record 12
First-principles (PBE-GGA) data for a relaxed PmLuIn crystal, as listed in the Alexandria database.

abc: 3.5673 3.5673 13.6593
angles: 90.00 90.00 90.00
Space group I4mm (No. 107)
One atom of each set of equivalent atoms:
Pm (0.0000, 0.0000, 0.0000)
Lu (0.0000, 0.0000, 0.6889)
In (0.0000, 0.0000, 0.3367)

* calculated volume: 28.97 Å³/atom
* energy above the most stable polymorph in this dataset: 0 meV per atom
* total DFT energy (no corrections): -4.297 eV/atom
* theoretical density: 8.31 Mg/m³
* magnetization: 0.00 μB per cell



Record 13
First-principles (PBE-GGA) data for a relaxed TlRu2Pt crystal, as listed in the Alexandria database.

abc: 6.4483 6.4483 6.4483
angles: 90.00 90.00 90.00
Space group F-43m (No. 216)
One atom of each set of equivalent atoms:
Tl (0.0000, 0.0000, 0.0000)
Ru (0.0000, 0.0000, 0.5000)
Ru (0.2500, 0.2500, 0.7500)
Pt (0.2500, 0.2500, 0.2500)

* calculated volume: 16.76 Å³/atom
* energy above the most stable polymorph in this dataset: 297 meV per atom
* total DFT energy (no corrections): -6.183 eV/atom
* theoretical density: 14.90 Mg/m³
* magnetization: 10.60 μB per cell



Record 14
First-principles (PBE-GGA) data for a relaxed Dy4HoNi4 crystal, as listed in the Alexandria database.

abc: 8.4819 8.4819 5.6265
angles: 90.00 90.00 90.00
Space group P4_2/n (No. 86, origin choice 2)
One atom of each set of equivalent atoms:
Dy (0.0639, 0.6650, 0.1494)
Ho (0.2500, 0.2500, 0.2500)
Ni (0.0235, 0.6180, 0.6345)

* calculated volume: 22.49 Å³/atom
* total DFT energy (no corrections): -5.392 eV/atom
* theoretical density: 8.61 Mg/m³
* magnetization: 0.00 μB per cell



Record 15
First-principles (PBE-GGA) data for a relaxed TaCrBr2 crystal, as listed in the Alexandria database.

abc: 6.6299 6.6299 6.6299
angles: 90.00 90.00 90.00
Space group Fm-3m (No. 225)
One atom of each set of equivalent atoms:
Ta (0.0000, 0.0000, 0.0000)
Cr (0.0000, 0.0000, 0.5000)
Br (0.2500, 0.2500, 0.2500)

* calculated volume: 18.21 Å³/atom
* energy above the most stable polymorph in this dataset: 700 meV per atom
* total DFT energy (no corrections): -5.449 eV/atom
* theoretical density: 8.95 Mg/m³
* magnetization: 17.30 μB per cell



Record 16
First-principles (PBE-GGA) data for a relaxed Co5Hg3I12 crystal, as listed in the Alexandria database.

abc: 17.4481 17.4481 17.4481
angles: 90.00 90.00 90.00
Space group Ia-3d (No. 230)
One atom of each set of equivalent atoms:
Co (0.0000, 0.0000, 0.0000)
Co (0.0000, 0.2500, 0.3750)
Hg (0.0000, 0.2500, 0.1250)
I (0.0315, 0.0498, 0.6488)

* calculated volume: 33.20 Å³/atom
* total DFT energy (no corrections): -2.691 eV/atom
* theoretical density: 6.05 Mg/m³
* magnetization: 101.50 μB per cell



Record 17
First-principles (PBE-GGA) data for a relaxed LiRuF2 crystal, as listed in the Alexandria database.

abc: 5.7361 5.7361 5.7361
angles: 90.00 90.00 90.00
Space group Fm-3m (No. 225)
One atom of each set of equivalent atoms:
Li (0.0000, 0.0000, 0.0000)
Ru (0.0000, 0.0000, 0.5000)
F (0.2500, 0.2500, 0.2500)

* calculated volume: 11.80 Å³/atom
* energy above the most stable polymorph in this dataset: 904 meV per atom
* total DFT energy (no corrections): -4.631 eV/atom
* theoretical density: 5.14 Mg/m³
* magnetization: 12.13 μB per cell



Record 18
First-principles (PBE-GGA) data for a relaxed Hf3Co crystal, as listed in the Alexandria database.

abc: 11.8442 10.4624 5.5412
angles: 90.00 117.86 90.00
Space group C2 (No. 5)
One atom of each set of equivalent atoms:
Hf (0.0000, 0.0000, 0.0000)
Hf (0.0000, 0.2870, 0.0000)
Hf (0.0980, 0.5458, 0.3374)
Hf (0.0977, 0.7410, 0.8548)
Hf (0.1434, 0.1438, 0.6444)
Hf (0.2012, 0.4425, 0.9358)
Hf (0.2010, 0.8449, 0.4656)
Co (0.0000, 0.3500, 0.5000)
Co (0.0000, 0.9374, 0.5000)
Co (0.2062, 0.1437, 0.2066)

* calculated volume: 18.97 Å³/atom
* total DFT energy (no corrections): -9.434 eV/atom
* theoretical density: 13.01 Mg/m³
* magnetization: 0.00 μB per cell



Record 19
First-principles (PBE-GGA) data for a relaxed Y2InAs crystal, as listed in the Alexandria database.

abc: 4.8526 4.8526 8.4175
angles: 90.00 90.00 90.00
Space group I4/mmm (No. 139)
One atom of each set of equivalent atoms:
Y (0.0000, 0.5000, 0.2500)
In (0.0000, 0.0000, 0.0000)
As (0.0000, 0.0000, 0.5000)

* calculated volume: 24.78 Å³/atom
* energy above the most stable polymorph in this dataset: 354 meV per atom
* total DFT energy (no corrections): -5.711 eV/atom
* theoretical density: 6.16 Mg/m³
* magnetization: 0.01 μB per cell



Record 20
First-principles (PBE-GGA) data for a relaxed Zr4HgTe8 crystal, as listed in the Alexandria database.

abc: 19.8062 3.9721 13.7896
angles: 90.00 128.78 90.00
Space group Cm (No. 8)
One atom of each set of equivalent atoms:
Zr (0.0000, 0.0000, 0.0000)
Zr (0.0134, 0.5000, 0.3725)
Zr (0.1789, 0.0000, 0.6809)
Zr (0.1922, 0.5000, 0.0533)
Hg (0.3456, 0.5000, 0.5258)
Te (0.0085, 0.5000, 0.8528)
Te (0.0476, 0.5000, 0.6091)
Te (0.1447, 0.0000, 0.4443)
Te (0.1837, 0.0000, 0.2005)
Te (0.2237, 0.0000, 0.9341)
Te (0.3118, 0.5000, 0.7799)
Te (0.3805, 0.5000, 0.2735)
Te (0.4686, 0.0000, 0.1194)

* calculated volume: 32.53 Å³/atom
* total DFT energy (no corrections): -5.336 eV/atom
* theoretical density: 6.23 Mg/m³
* magnetization: 0.00 μB per cell



Record 21
First-principles (PBE-GGA) data for a relaxed InCo2Pb crystal, as listed in the Alexandria database.

abc: 6.4059 6.4059 6.4059
angles: 90.00 90.00 90.00
Space group Fm-3m (No. 225)
One atom of each set of equivalent atoms:
In (0.0000, 0.0000, 0.0000)
Co (0.2500, 0.2500, 0.2500)
Pb (0.0000, 0.0000, 0.5000)

* calculated volume: 16.43 Å³/atom
* energy above the most stable polymorph in this dataset: 97 meV per atom
* total DFT energy (no corrections): -4.787 eV/atom
* theoretical density: 11.11 Mg/m³
* magnetization: 5.81 μB per cell



Record 22
First-principles (PBE-GGA) data for a relaxed ZnAgP crystal, as listed in the Alexandria database.

abc: 3.5479 4.4991 12.4707
angles: 90.00 90.00 90.00
Space group Fmm2 (No. 42)
One atom of each set of equivalent atoms:
Zn (0.0000, 0.0000, 0.0000)
Ag (0.0000, 0.0000, 0.3360)
P (0.0000, 0.0000, 0.6491)

* calculated volume: 16.59 Å³/atom
* total DFT energy (no corrections): -2.890 eV/atom
* theoretical density: 6.82 Mg/m³
* magnetization: 0.00 μB per cell